A relaxed Tl2V2PbO7 crystal. Source: Alexandria via LeMat-Bulk, functional PBE with a Hubbard U.

Cell: 4.0437 4.0437 11.3460 Å, 97.14 97.14 87.94°
Fractional positions:
1 Tl 0.1893 0.1893 0.3747
2 Tl 0.8107 0.8107 0.6253
3 V 0.3865 0.3865 0.8239
4 V 0.6135 0.6135 0.1761
5 Pb 0.0000 0.0000 0.0000
6 O 0.0431 0.5548 0.1660
7 O 0.3965 0.3965 0.6707
8 O 0.4452 0.9569 0.8340
9 O 0.5000 0.5000 0.0000
10 O 0.5548 0.0431 0.1660
11 O 0.6035 0.6035 0.3293
12 O 0.9569 0.4452 0.8340

## Properties
Total DFT energy (no corrections) (eV per atom): -6.2809
Symmetry: C2/m, No. 12
Size of the total moment (μB/f.u.): 0.0
DOS at the Fermi energy (states/eV per atom): 0.000